[1]
A plane-wave DFT calculation with PBE was carried out for a relaxed KRb2Cd4Au3 crystal.

```
KRb2Cd4Au3
1.0
-0.195 -4.204 2.655
4.796 -0.860 -1.009
3.344 6.425 10.420
K Rb Cd Au
1 2 4 3
direct
0.500 0.500 0.500
0.500 0.000 0.224
0.000 0.500 0.776
0.500 0.500 0.000
0.000 0.000 0.000
0.500 0.000 0.666
0.000 0.500 0.334
0.000 0.000 0.500
0.500 0.000 0.887
0.000 0.500 0.113
```

Results
As for the density of states at the Fermi level: 0.33 states/eV per atom. For the calculated formation energy, the calculation gives -168 meV per atom.

=====

[2]
A plane-wave DFT calculation with PBE was carried out for a relaxed Li2Mg3Tl8 crystal.

```
Li2Mg3Tl8
1.0
5.875 0.000 0.688
0.000 8.525 0.000
-1.398 -4.263 6.779
Li Mg Tl
2 3 8
direct
0.306 0.207 0.414
0.694 0.793 0.586
0.500 0.000 0.000
0.000 0.179 0.000
0.000 0.821 0.000
0.891 0.602 0.205
0.109 0.398 0.795
0.819 0.186 0.371
0.181 0.814 0.629
0.577 0.569 0.746
0.577 0.177 0.746
0.423 0.823 0.254
0.423 0.431 0.254
```

Results
As for the density of states at the Fermi level: 0.43 states/eV per atom. For the calculated formation energy, the calculation gives -22 meV per atom.

=====

[3]
A plane-wave DFT calculation with PBE was carried out for a relaxed NbTeWI2 crystal.

```
NbTeWI2
1.0
5.551 0.000 0.000
0.000 5.551 0.000
0.000 0.000 5.480
I Nb Te W
2 1 1 1
direct
0.000 0.500 0.000
0.500 0.000 0.000
0.000 0.000 0.000
0.000 0.000 0.500
0.500 0.500 0.500
```

Results
As for the density of states at the Fermi level: 0.85 states/eV per atom. For the raw formation energy, the calculation gives 6.74 eV/f.u.

=====

[4]
A plane-wave DFT calculation with PBE was carried out for a relaxed RbSn3Au crystal.

```
RbSn3Au
1.0
-1.853 4.584 0.723
-1.108 -1.197 4.723
3.902 3.604 4.482
Rb Sn Au
1 3 1
direct
0.399 0.203 0.907
0.643 0.946 0.420
0.142 0.446 0.420
0.795 0.599 0.116
0.028 0.832 0.648
```

Results
As for the density of states at the Fermi level: 0.22 states/eV per atom. For the calculated formation energy, the calculation gives -266 meV per atom.

=====

[5]
A plane-wave DFT calculation with PBE was carried out for a relaxed Cr4NiPt crystal.

```
Cr4NiPt
1.0
1.020 -1.677 4.284
-3.363 -0.262 3.290
-1.660 -4.201 1.343
Cr Ni Pt
4 1 1
direct
0.867 0.378 0.378
0.378 0.378 0.867
0.378 0.867 0.378
0.378 0.378 0.378
0.750 0.750 0.750
0.000 0.000 0.000
```

Results
As for the density of states at the Fermi level: 1.46 states/eV per atom. For the calculated formation energy, the calculation gives 68 meV per atom.

=====

[6]
A plane-wave DFT calculation with PBE was carried out for a relaxed Rb2LaSmSe4 crystal.

```
Rb2LaSmSe4
1.0
-2.340 0.056 -3.723
-1.907 -7.296 1.089
-5.844 4.733 3.745
Rb La Sm Se
2 1 1 4
direct
0.500 0.000 0.500
0.000 0.500 0.500
0.000 0.000 0.000
0.500 0.500 0.000
0.500 0.240 0.201
0.500 0.760 0.799
0.000 0.273 0.801
0.000 0.727 0.199
```

Results
As for the density of states at the Fermi level: 0.00 states/eV per atom. For the raw formation energy, the calculation gives -14.20 eV/f.u.

=====

[7]
A plane-wave DFT calculation with PBE was carried out for a relaxed Tl2WBr crystal.

```
Tl2WBr
1.0
-1.451 1.589 -2.358
2.056 -1.242 -2.102
-5.957 -7.504 -1.390
Tl Br W
2 1 1
direct
0.000 0.000 0.021
0.500 0.500 0.296
0.500 0.500 0.670
0.000 0.000 0.512
```

Results
As for the density of states at the Fermi level: 0.79 states/eV per atom. For the raw formation energy, the calculation gives 2.61 eV/f.u.

=====

[8]
A plane-wave DFT calculation with PBE was carried out for a relaxed HfZnFe crystal.

```
HfZnFe
1.0
-4.630 1.648 -0.607
-3.640 -3.502 -1.938
-4.142 -1.501 7.327
Zn Fe Hf
4 4 4
direct
0.163 0.500 0.674
0.337 0.500 0.326
0.587 0.000 0.826
0.413 0.000 0.174
0.623 0.500 0.754
0.877 0.500 0.246
0.127 0.000 0.746
0.873 0.000 0.254
0.903 0.195 0.500
0.597 0.805 0.500
0.847 0.305 0.000
0.153 0.695 0.000
```

Results
As for the density of states at the Fermi level: 0.95 states/eV per atom. For the calculated formation energy, the calculation gives 70 meV per atom.

=====

[9]
A plane-wave DFT calculation with PBE was carried out for a relaxed NaCo3Rh crystal.

```
NaCo3Rh
1.0
4.631 0.000 0.000
0.000 4.631 0.000
0.000 0.000 4.631
Co Rh Na
3 1 1
direct
0.000 0.500 0.000
0.000 0.000 0.500
0.500 0.000 0.000
0.000 0.000 0.000
0.500 0.500 0.500
```

Results
As for the density of states at the Fermi level: 2.08 states/eV per atom. For the calculated formation energy, the calculation gives 1096 meV per atom.

=====

[10]
A plane-wave DFT calculation with PBE was carried out for a relaxed Tb6Ta4Al43 crystal.

```
Tb6Ta4Al43
1.0
11.130 0.000 0.000
-5.565 9.639 0.000
0.000 0.000 17.831
Tb Ta Al
12 8 86
direct
0.529 0.000 0.596
0.471 0.000 0.404
0.000 0.529 0.596
0.471 0.000 0.096
0.000 0.529 0.904
0.000 0.471 0.404
0.529 0.000 0.904
0.000 0.471 0.096
0.471 0.471 0.596
0.529 0.529 0.404
0.529 0.529 0.096
0.471 0.471 0.904
0.000 0.000 0.500
0.000 0.000 0.000
0.727 0.000 0.750
0.273 0.000 0.250
0.000 0.727 0.750
0.000 0.273 0.250
0.273 0.273 0.750
0.727 0.727 0.250
0.149 0.594 0.750
0.851 0.406 0.250
0.406 0.555 0.750
0.594 0.149 0.750
0.594 0.445 0.250
0.406 0.851 0.250
0.445 0.851 0.750
0.555 0.406 0.750
0.555 0.149 0.250
0.445 0.594 0.250
0.851 0.445 0.750
0.149 0.555 0.250
0.159 0.000 0.115
0.841 0.000 0.885
0.000 0.159 0.115
0.841 0.000 0.615
0.000 0.159 0.385
0.000 0.841 0.885
0.159 0.000 0.385
0.000 0.841 0.615
0.841 0.841 0.115
0.159 0.159 0.885
0.159 0.159 0.615
0.841 0.841 0.385
0.247 0.494 0.500
0.753 0.506 0.500
0.506 0.753 0.500
0.753 0.506 0.000
0.494 0.247 0.000
0.494 0.247 0.500
0.247 0.494 0.000
0.506 0.753 0.000
0.247 0.753 0.500
0.753 0.247 0.500
0.753 0.247 0.000
0.247 0.753 0.000
0.148 0.000 0.750
0.852 0.000 0.250
0.000 0.148 0.750
0.000 0.852 0.250
0.852 0.852 0.750
0.148 0.148 0.250
0.333 0.667 0.625
0.667 0.333 0.375
0.667 0.333 0.125
0.667 0.333 0.875
0.333 0.667 0.875
0.333 0.667 0.125
0.333 0.667 0.375
0.667 0.333 0.625
0.256 0.000 0.529
0.744 0.000 0.471
0.000 0.256 0.529
0.744 0.000 0.029
0.000 0.256 0.971
0.000 0.744 0.471
0.256 0.000 0.971
0.000 0.744 0.029
0.744 0.744 0.529
0.256 0.256 0.471
0.256 0.256 0.029
0.744 0.744 0.971
0.158 0.395 0.663
0.842 0.605 0.337
0.605 0.763 0.663
0.842 0.605 0.163
0.395 0.158 0.837
0.395 0.237 0.337
0.158 0.395 0.837
0.605 0.842 0.163
0.237 0.842 0.663
0.395 0.237 0.163
0.763 0.605 0.837
0.763 0.158 0.337
0.605 0.763 0.837
0.237 0.395 0.163
0.605 0.842 0.337
0.395 0.158 0.663
0.763 0.158 0.163
0.237 0.395 0.337
0.237 0.842 0.837
0.763 0.605 0.663
0.842 0.237 0.837
0.158 0.763 0.163
0.158 0.763 0.337
0.842 0.237 0.663
```

Results
As for the density of states at the Fermi level: 0.31 states/eV per atom. For the calculated formation energy, the calculation gives -313 meV per atom.

=====

[11]
A plane-wave DFT calculation with PBE was carried out for a relaxed Fe3C crystal.

```
Fe3C
1.0
-0.812 -1.873 -4.200
0.341 -4.603 1.987
-6.919 0.054 1.314
Fe C
12 4
direct
0.348 0.167 0.423
0.152 0.667 0.077
0.848 0.333 0.923
0.344 0.447 0.750
0.152 0.667 0.423
0.348 0.167 0.077
0.156 0.947 0.750
0.652 0.833 0.923
0.848 0.333 0.577
0.656 0.553 0.250
0.652 0.833 0.577
0.844 0.053 0.250
0.000 0.000 0.500
0.500 0.500 0.500
0.500 0.500 0.000
0.000 0.000 0.000
```

Results
As for the density of states at the Fermi level: 0.84 states/eV per atom. For the calculated formation energy, the calculation gives 122 meV per atom.

=====

[12]
A plane-wave DFT calculation with PBE was carried out for a relaxed CaTcCl3 crystal.

```
CaTcCl3
1.0
-1.206 -4.472 -2.645
4.661 0.268 -2.579
2.295 -2.895 3.847
Ca Tc Cl
1 1 3
direct
0.000 0.000 0.000
0.500 0.500 0.500
0.000 0.500 0.000
0.000 0.000 0.500
0.500 0.000 0.000
```

Results
As for the density of states at the Fermi level: 1.99 states/eV per atom. For the raw formation energy, the calculation gives -2.76 eV/f.u.

=====

[13]
A plane-wave DFT calculation with PBE was carried out for a relaxed TmMgIrO6 crystal.

```
TmMgIrO6
1.0
-2.896 -2.900 3.461
4.343 -2.137 -2.313
4.948 2.923 6.590
Tm Mg Ir O
2 2 2 12
direct
0.333 0.667 0.250
0.667 0.333 0.750
0.000 0.000 0.000
0.000 0.000 0.500
0.667 0.333 0.250
0.333 0.667 0.750
0.677 0.637 0.126
0.960 0.323 0.126
0.323 0.960 0.626
0.040 0.677 0.874
0.363 0.323 0.374
0.960 0.637 0.374
0.637 0.960 0.874
0.677 0.040 0.374
0.040 0.363 0.626
0.363 0.040 0.126
0.637 0.677 0.626
0.323 0.363 0.874
```

Results
As for the density of states at the Fermi level: 0.63 states/eV per atom. For the raw formation energy, the calculation gives -15.95 eV/f.u.

=====

[14]
A plane-wave DFT calculation with PBE was carried out for a relaxed MnTl2Te crystal.

```
MnTl2Te
1.0
-1.883 2.621 -0.333
-1.215 -1.537 -5.233
-4.751 -3.155 2.030
Mn Te Tl
1 1 2
direct
0.500 0.500 0.250
0.500 0.500 0.750
0.000 0.000 0.004
0.000 0.000 0.496
```

Results
As for the density of states at the Fermi level: 0.63 states/eV per atom. For the raw formation energy, the calculation gives 1.38 eV/f.u.

=====

[15]
A plane-wave DFT calculation with PBE was carried out for a relaxed Ti3HgH2 crystal.

```
Ti3HgH2
1.0
-1.900 1.524 1.711
2.651 -1.980 4.708
5.852 7.123 0.156
Ti Hg H
6 2 4
direct
0.750 0.923 0.132
0.250 0.077 0.868
0.750 0.647 0.886
0.250 0.353 0.114
0.250 0.133 0.381
0.750 0.867 0.619
0.250 0.623 0.365
0.750 0.377 0.635
0.250 0.425 0.912
0.750 0.575 0.088
0.750 0.963 0.416
0.250 0.037 0.584
```

Results
As for the density of states at the Fermi level: 0.62 states/eV per atom. The electronic total energy comes out at -5.25 eV/atom.

=====

[16]
A plane-wave DFT calculation with PBE was carried out for a relaxed CaReBPd2 crystal.

```
CaReBPd2
1.0
4.926 0.000 0.000
0.000 4.166 0.000
0.000 0.000 4.926
Re Ca B Pd
1 1 1 2
direct
0.000 0.000 0.000
0.500 0.500 0.500
0.000 0.500 0.000
0.000 0.000 0.500
0.500 0.000 0.000
```

Results
As for the density of states at the Fermi level: 0.99 states/eV per atom. For the calculated formation energy, the calculation gives 535 meV per atom.

=====

[17]
A plane-wave DFT calculation with PBE was carried out for a relaxed Li2InAs crystal.

```
Li2InAs
1.0
3.020 0.022 0.000
-0.077 3.019 0.000
0.000 0.000 8.259
As Li In
1 2 1
direct
0.500 0.500 0.250
0.000 0.000 0.043
0.000 0.000 0.457
0.500 0.500 0.750
```

Results
As for the density of states at the Fermi level: 0.27 states/eV per atom. For the calculated formation energy, the calculation gives -355 meV per atom.

=====

[18]
A plane-wave DFT calculation with PBE was carried out for a relaxed Er2TlSi crystal.

```
Er2TlSi
1.0
4.729 0.000 0.000
2.365 4.096 0.000
2.365 1.365 5.219
Tl Si Er
1 1 2
direct
0.000 0.000 0.000
0.500 0.500 0.500
0.761 0.761 0.718
0.239 0.239 0.282
```

Results
As for the density of states at the Fermi level: 0.97 states/eV per atom. For the raw formation energy, the calculation gives -1.36 eV/f.u.

=====

Total magnetic moment? In order: 0.000; 0.000; 6.130; 0.000; 0.000; 0.000; 0.476; 0.534; 6.856; 0.000; 5.652; 5.628; 1.309; 4.105; 0.000; 0.000; 0.000; 0.000 μB per formula unit.
Calculated volume? In order: 314; 348; 169; 149; 74; 268; 99; 195; 99; 1913; 165; 152; 218; 110; 158; 101; 75; 101 Å³ per cell.